Entry 1:
Entry from the Alexandria database: CdInPb after structural relaxation (PBE-GGA).

The structure in CIF format:
```
data_CdInPb
_space_group_name_H-M_alt 'C 1 2/m 1'
_space_group_IT_number 12
_cell_length_a 29.4300
_cell_length_b 3.3661
_cell_length_c 3.3487
_cell_angle_alpha 90.00
_cell_angle_beta 90.08
_cell_angle_gamma 90.00
loop_
_space_group_symop_operation_xyz
'x,y,z'
'-x,-y,-z'
'-x,y,-z'
'x,-y,z'
'x+1/2,y+1/2,z'
'-x+1/2,-y+1/2,-z'
'-x+1/2,y+1/2,-z'
'x+1/2,-y+1/2,z'
loop_
_atom_site_label
_atom_site_fract_x
_atom_site_fract_y
_atom_site_fract_z
Cd1 0.1323 0.0000 0.2516
In1 0.2079 0.5000 0.7521
Pb1 0.0518 0.5000 0.7503
```

Computed properties:
**Polymorph energy (0 for the lowest one)**: 0.014 eV/atom



Entry 2:
Entry from the Alexandria database: CdIn2Pb4 after structural relaxation (PBE-GGA).

The structure in CIF format:
```
data_CdIn2Pb4
_space_group_name_H-M_alt 'C m c e'
_space_group_IT_number 64
_space_group_name_Hall '-C 2ac 2'
_cell_length_a 12.5689
_cell_length_b 6.7103
_cell_length_c 10.5807
_cell_angle_alpha 90.00
_cell_angle_beta 90.00
_cell_angle_gamma 90.00
loop_
_atom_site_label
_atom_site_fract_x
_atom_site_fract_y
_atom_site_fract_z
Cd1 0.0000 0.0000 0.0000
In1 0.1508 0.0000 0.5000
Pb1 0.0000 0.1750 0.2678
Pb2 0.2500 0.1878 0.7500
```

Computed properties:
**Polymorph energy (0 for the lowest one)**: 0.065 eV/atom



Entry 3:
Entry from the Alexandria database: Cd3InPb6 after structural relaxation (PBE-GGA).

The structure in CIF format:
```
data_Cd3InPb6
_space_group_name_H-M_alt 'P 1 21/m 1'
_space_group_IT_number 11
_cell_length_a 13.4135
_cell_length_b 3.4617
_cell_length_c 14.0589
_cell_angle_alpha 90.00
_cell_angle_beta 117.58
_cell_angle_gamma 90.00
loop_
_space_group_symop_operation_xyz
'x,y,z'
'-x,-y,-z'
'-x,y+1/2,-z'
'x,-y+1/2,z'
loop_
_atom_site_label
_atom_site_fract_x
_atom_site_fract_y
_atom_site_fract_z
Cd1 0.1110 0.2500 0.0416
Cd2 0.2055 0.7500 0.4976
Cd3 0.3160 0.7500 0.1596
In1 0.2817 0.2500 0.7178
Pb1 0.0368 0.7500 0.6221
Pb2 0.0438 0.7500 0.2120
Pb3 0.2306 0.7500 0.9004
Pb4 0.2963 0.2500 0.3494
Pb5 0.4581 0.2500 0.6171
Pb6 0.4894 0.2500 0.1023
```



Entry 4:
Entry from the Alexandria database: Cd4InPb2 after structural relaxation (PBE-GGA).

The structure in CIF format:
```
data_Cd4InPb2
_space_group_name_H-M_alt 'C m m m'
_space_group_IT_number 65
_space_group_name_Hall '-C 2 2'
_cell_length_a 3.2861
_cell_length_b 34.0380
_cell_length_c 3.2806
_cell_angle_alpha 90.00
_cell_angle_beta 90.00
_cell_angle_gamma 90.00
loop_
_atom_site_label
_atom_site_fract_x
_atom_site_fract_y
_atom_site_fract_z
Cd1 0.0000 0.0689 0.0000
Cd2 0.0000 0.3687 0.5000
In1 0.0000 0.5000 0.5000
Pb1 0.0000 0.2042 0.0000
```

Computed properties:
**Polymorph energy (0 for the lowest one)**: 0.000 eV/atom



Entry 5:
Entry from the Alexandria database: CdInPb2 after structural relaxation (PBE-GGA).

The structure in CIF format:
```
data_CdInPb2
_space_group_name_H-M_alt 'C m m m'
_space_group_IT_number 65
_space_group_name_Hall '-C 2 2'
_cell_length_a 3.7020
_cell_length_b 5.7149
_cell_length_c 10.9338
_cell_angle_alpha 90.00
_cell_angle_beta 90.00
_cell_angle_gamma 90.00
loop_
_atom_site_label
_atom_site_fract_x
_atom_site_fract_y
_atom_site_fract_z
Cd1 0.0000 0.0000 0.0000
In1 0.0000 0.0000 0.5000
Pb1 0.0000 0.5000 0.2413
```

Computed properties:
**Polymorph energy (0 for the lowest one)**: 0.025 eV/atom



Entry 6:
Entry from the Alexandria database: Cd6In3Pb after structural relaxation (PBE-GGA).

The structure in CIF format:
```
data_Cd6In3Pb
_space_group_name_H-M_alt 'P n n m'
_space_group_IT_number 58
_cell_length_a 8.5344
_cell_length_b 12.6123
_cell_length_c 4.9126
_cell_angle_alpha 90.00
_cell_angle_beta 90.00
_cell_angle_gamma 90.00
loop_
_space_group_symop_operation_xyz
'x,y,z'
'-x,-y,-z'
'-x,-y,z'
'x,y,-z'
'x+1/2,-y+1/2,-z+1/2'
'-x+1/2,y+1/2,z+1/2'
'-x+1/2,y+1/2,-z+1/2'
'x+1/2,-y+1/2,z+1/2'
loop_
_atom_site_label
_atom_site_fract_x
_atom_site_fract_y
_atom_site_fract_z
Cd1 0.0506 0.1930 0.0000
Cd2 0.0697 0.6847 0.5000
Cd3 0.2379 0.1986 0.5000
In1 0.0000 0.0000 0.5000
In2 0.2424 0.9555 0.0000
Pb1 0.0000 0.5000 0.0000
```



Entry 7:
Entry from the Alexandria database: CdIn2Pb after structural relaxation (PBE-GGA).

The structure in CIF format:
```
data_CdIn2Pb
_space_group_name_H-M_alt 'R -3 m'
_space_group_IT_number 166
_space_group_name_Hall '-R 3 2"'
_cell_length_a 3.4119
_cell_length_b 3.4119
_cell_length_c 32.5980
_cell_angle_alpha 90.00
_cell_angle_beta 90.00
_cell_angle_gamma 120.00
loop_
_atom_site_label
_atom_site_fract_x
_atom_site_fract_y
_atom_site_fract_z
Cd1 0.0000 0.0000 0.0000
In1 0.0000 0.0000 0.2566
Pb1 0.0000 0.0000 0.5000
```



Entry 8:
Entry from the Alexandria database: Cd3In3Pb after structural relaxation (PBE-GGA).

The structure in CIF format:
```
data_Cd3In3Pb
_space_group_name_H-M_alt 'R -3'
_space_group_IT_number 148
_space_group_name_Hall '-R 3'
_cell_length_a 7.8948
_cell_length_b 7.8948
_cell_length_c 21.0222
_cell_angle_alpha 90.00
_cell_angle_beta 90.00
_cell_angle_gamma 120.00
loop_
_atom_site_label
_atom_site_fract_x
_atom_site_fract_y
_atom_site_fract_z
Cd1 0.0244 0.7847 0.0603
In1 0.0472 0.6045 0.8775
Pb1 0.0000 0.0000 0.3413
```

Computed properties:
**Polymorph energy (0 for the lowest one)**: 0.001 eV/atom



Entry 9:
Entry from the Alexandria database: CdInPb2 after structural relaxation (PBE-GGA).

The structure in CIF format:
```
data_CdInPb2
_space_group_name_H-M_alt 'C 1 2/m 1'
_space_group_IT_number 12
_cell_length_a 6.9158
_cell_length_b 11.1405
_cell_length_c 3.2909
_cell_angle_alpha 90.00
_cell_angle_beta 114.17
_cell_angle_gamma 90.00
loop_
_space_group_symop_operation_xyz
'x,y,z'
'-x,-y,-z'
'-x,y,-z'
'x,-y,z'
'x+1/2,y+1/2,z'
'-x+1/2,-y+1/2,-z'
'-x+1/2,y+1/2,-z'
'x+1/2,-y+1/2,z'
loop_
_atom_site_label
_atom_site_fract_x
_atom_site_fract_y
_atom_site_fract_z
Cd1 0.0000 0.0000 0.0000
In1 0.0000 0.5000 0.0000
Pb1 0.2500 0.2500 0.5000
```

Computed properties:
**Polymorph energy (0 for the lowest one)**: 0.029 eV/atom



Entry 10:
Entry from the Alexandria database: CdIn3Pb3 after structural relaxation (PBE-GGA).

The structure in CIF format:
```
data_CdIn3Pb3
_space_group_name_H-M_alt 'R -3'
_space_group_IT_number 148
_space_group_name_Hall '-R 3'
_cell_length_a 9.0567
_cell_length_b 9.0567
_cell_length_c 17.0521
_cell_angle_alpha 90.00
_cell_angle_beta 90.00
_cell_angle_gamma 120.00
loop_
_atom_site_label
_atom_site_fract_x
_atom_site_fract_y
_atom_site_fract_z
Cd1 0.0000 0.0000 0.2494
In1 0.0488 0.2339 0.9140
Pb1 0.0495 0.2429 0.4161
```

Computed properties:
**Polymorph energy (0 for the lowest one)**: 0.000 eV/atom



Entry 11:
Entry from the Alexandria database: CdIn2Pb after structural relaxation (PBE-GGA).

The structure in CIF format:
```
data_CdIn2Pb
_space_group_name_H-M_alt 'P m m m'
_space_group_IT_number 47
_cell_length_a 3.6284
_cell_length_b 5.4638
_cell_length_c 5.5841
_cell_angle_alpha 90.00
_cell_angle_beta 90.00
_cell_angle_gamma 90.00
loop_
_space_group_symop_operation_xyz
'x,y,z'
'-x,-y,-z'
'-x,-y,z'
'x,y,-z'
'x,-y,-z'
'-x,y,z'
'-x,y,-z'
'x,-y,z'
loop_
_atom_site_label
_atom_site_fract_x
_atom_site_fract_y
_atom_site_fract_z
Cd1 0.0000 0.0000 0.0000
In1 0.0000 0.5000 0.5000
In2 0.5000 0.0000 0.5000
Pb1 0.5000 0.5000 0.0000
```



Entry 12:
Entry from the Alexandria database: CdInPb2 after structural relaxation (PBE-GGA).

The structure in CIF format:
```
data_CdInPb2
_space_group_name_H-M_alt 'P 4 m m'
_space_group_IT_number 99
_cell_length_a 3.9464
_cell_length_b 3.9464
_cell_length_c 7.3373
_cell_angle_alpha 90.00
_cell_angle_beta 90.00
_cell_angle_gamma 90.00
loop_
_space_group_symop_operation_xyz
'x,y,z'
'-y,x,z'
'-x,-y,z'
'y,-x,z'
'-x,y,z'
'y,x,z'
'x,-y,z'
'-y,-x,z'
loop_
_atom_site_label
_atom_site_fract_x
_atom_site_fract_y
_atom_site_fract_z
Cd1 0.0000 0.0000 0.0000
In1 0.5000 0.5000 0.2148
Pb1 0.0000 0.0000 0.4659
Pb2 0.5000 0.5000 0.7604
```

Computed properties:
**Polymorph energy (0 for the lowest one)**: 0.013 eV/atom



What DFT formation energy values result from the calculations? In sequence: 0.051, 0.118, 0.041, 0.041, 0.054, 0.051, 0.020, 0.053, 0.058, 0.030, 0.041, 0.042 eV/atom.
What size of the total moment values result from the calculations? In sequence: 0.00, 0.00, 0.00, 0.00, 0.00, 0.00, 0.00, 0.00, 0.00, 0.00, 0.00, 0.00 μB/f.u..